Material: DyHoNF2
Method: DFT, PBE
State: optimized geometry

Computed properties:
Crystal system   trigonal
VASP energy   -35.3 eV for the cell shown
Total magnetic moment   0.00 μB per formula unit

a b c (Å): 3.4528 3.4528 6.6485
angles (deg): 90.00 90.00 120.00
Fractional positions:
Dy1 0.0000 0.0000 0.6971
F1 0.0000 0.0000 0.1238
F2 0.6667 0.3333 0.8805
Ho1 0.6667 0.3333 0.3020
N1 0.3333 0.6667 0.4966